Record 1
A plane-wave DFT calculation with PBE-GGA was carried out for Pm3Nd7Y2 after structural relaxation.

```
12
Lattice="3.633 0.000 0.000 0.000 5.973 0.273 0.000 -1.966 19.217" Properties=species:S:1:pos:R:3 pbc="T T T"
Nd 1.816 3.257 15.944
Nd 0.000 0.000 0.000
Nd 0.000 3.798 2.967
Nd 0.000 0.210 16.523
Nd 1.816 0.483 10.353
Nd 1.816 0.751 3.546
Nd 1.816 3.525 9.137
Pm 1.816 2.987 0.136
Pm 0.000 3.424 12.377
Pm 0.000 0.584 7.113
Y 1.816 0.354 13.607
Y 1.816 3.654 5.883
```

Values from the calculation:
formation energy = 87.6 meV/atom
SG = No. 10
mass density = 6.4 Mg/m³
relative energy among the computed polymorphs = 16 meV per atom

Record 2
A plane-wave DFT calculation with PBE-GGA was carried out for Pm2Nd2Y3 after structural relaxation.

```
7
Lattice="3.520 0.000 0.000 0.000 8.882 -0.430 -1.760 -3.456 7.811" Properties=species:S:1:pos:R:3 pbc="T T T"
Pm 0.000 -1.690 5.610
Pm 1.760 7.116 1.772
Y 0.000 4.213 3.168
Y 0.000 4.441 -0.215
Y 1.760 1.213 4.214
Nd 1.760 4.158 6.244
Nd 0.000 1.268 1.138
```

Values from the calculation:
formation energy = 128.0 meV/atom
SG = No. 12
mass density = 5.9 Mg/m³
relative energy among the computed polymorphs = 113 meV per atom

Record 3
A plane-wave DFT calculation with PBE-GGA was carried out for Pm3Nd4Y3 after structural relaxation.

```
10
Lattice="-2.623 -2.570 1.221 6.912 -5.279 3.735 -0.780 4.685 8.188" Properties=species:S:1:pos:R:3 pbc="T T T"
Y 4.298 -4.877 5.099
Y 0.718 -1.483 4.554
Y 2.793 -1.684 8.588
Pm -0.793 1.718 8.046
Pm 6.509 -2.942 7.791
Pm 3.479 -2.648 1.899
Nd 0.795 -0.076 1.548
Nd 2.071 0.992 6.537
Nd 5.335 -0.516 10.375
Nd 4.055 -1.579 5.388
```

Values from the calculation:
formation energy = 93.8 meV/atom
SG = No. 38
mass density = 6.1 Mg/m³

Record 4
A plane-wave DFT calculation with PBE-GGA was carried out for Pm6Nd3Y2 after structural relaxation.

```
11
Lattice="-2.081 4.295 0.746 -4.359 -2.055 -0.330 3.305 -3.988 16.533" Properties=species:S:1:pos:R:3 pbc="T T T"
Pm -1.020 1.455 4.413
Pm 0.051 -1.728 10.086
Pm -0.977 -0.029 13.075
Pm -3.187 -0.020 6.863
Pm -2.116 -3.204 12.536
Pm -2.159 -1.720 3.874
Y 0.077 -2.606 15.210
Y -3.213 0.858 1.739
Nd -3.170 -0.601 10.255
Nd 0.034 -1.147 6.694
Nd 0.000 0.000 0.000
```

Values from the calculation:
formation energy = 271.4 meV/atom
SG = No. 139
mass density = 6.2 Mg/m³
relative energy among the computed polymorphs = 259 meV per atom

Record 5
A plane-wave DFT calculation with PBE-GGA was carried out for Pm5Nd2Y12 after structural relaxation.

```
19
Lattice="-6.781 6.502 0.734 3.853 -3.652 7.452 6.016 6.313 -0.344" Properties=species:S:1:pos:R:3 pbc="T T T"
Y 7.083 2.430 4.982
Y 4.426 3.861 6.685
Y -3.995 6.734 2.860
Y 5.335 5.461 0.912
Y 2.719 6.614 5.454
Y 1.099 3.076 5.828
Y 0.369 2.549 2.388
Y 1.989 6.088 2.014
Y -1.339 5.302 1.157
Y 3.669 0.612 5.550
Y -0.581 8.552 2.292
Y -2.247 3.703 6.930
Pm 3.657 3.431 3.394
Pm 3.008 3.156 -0.172
Pm -3.094 3.200 3.559
Pm -0.569 5.733 4.448
Pm 6.182 5.963 4.283
Nd -4.578 4.390 0.496
Nd -2.203 2.112 0.239
```

Values from the calculation:
formation energy = 121.1 meV/atom
SG = No. 12
mass density = 5.4 Mg/m³
relative energy among the computed polymorphs = 105 meV per atom

Record 6
A plane-wave DFT calculation with PBE-GGA was carried out for Pm2Nd6Y after structural relaxation.

```
18
Lattice="-5.242 -0.034 -3.480 -10.030 -5.258 4.365 -5.222 10.527 -3.034" Properties=species:S:1:pos:R:3 pbc="T T T"
Nd -12.642 -3.505 2.667
Nd -9.369 -2.228 0.218
Nd -9.225 -4.357 3.070
Nd -7.852 8.740 -4.816
Nd -16.153 -0.454 -0.404
Nd -11.056 1.709 0.222
Nd -4.342 5.688 -1.745
Nd -9.439 3.525 -2.371
Nd -12.859 4.377 -2.777
Nd -7.635 0.858 0.628
Nd -11.270 9.592 -5.219
Nd -11.125 7.463 -2.367
Pm -6.046 2.569 -2.000
Pm -9.440 0.015 -2.551
Pm -14.448 2.666 -0.149
Pm -11.054 5.220 0.402
Y -12.761 -1.343 -0.092
Y -7.733 6.577 -2.057
```

Values from the calculation:
formation energy = 93.5 meV/atom
SG = No. 15
mass density = 6.6 Mg/m³
relative energy among the computed polymorphs = 43 meV per atom

Record 7
A plane-wave DFT calculation with PBE-GGA was carried out for Pm10Nd4Y after structural relaxation.

```
15
Lattice="10.633 0.000 4.801 5.316 7.004 2.401 2.434 0.000 8.784" Properties=species:S:1:pos:R:3 pbc="T T T"
Pm 6.533 3.502 6.793
Pm 11.358 0.763 7.809
Pm 11.850 3.502 9.193
Pm 10.487 6.241 9.739
Pm 6.733 4.561 3.877
Pm 4.479 2.443 8.871
Pm 7.025 6.241 8.176
Pm 13.904 4.561 7.115
Pm 7.896 0.763 6.246
Pm 11.649 2.443 12.108
Y 0.000 0.000 0.000
Nd 4.214 1.749 4.843
Nd 14.169 5.255 11.143
Nd 9.913 4.324 6.395
Nd 8.470 2.680 9.591
```

Values from the calculation:
formation energy = 392.6 meV/atom
SG = No. 87
mass density = 6.1 Mg/m³

Record 8
A plane-wave DFT calculation with PBE-GGA was carried out for Pm8NdY3 after structural relaxation.

```
12
Lattice="-5.821 1.269 6.258 -5.027 -3.269 -6.239 6.590 -5.396 -1.450" Properties=species:S:1:pos:R:3 pbc="T T T"
Pm -2.843 -4.884 0.488
Pm -1.297 -3.089 3.216
Pm -2.703 -5.694 -3.033
Pm -0.636 -6.818 -5.761
Pm -1.417 -2.502 -1.932
Pm -3.497 -1.360 0.808
Pm -7.095 -2.020 0.817
Pm -3.623 -0.570 4.319
Y -5.036 -3.152 -1.913
Y 0.911 -5.028 -3.035
Y 0.776 -4.232 0.467
Nd 0.130 -0.696 0.811
```

Values from the calculation:
formation energy = 24.2 meV/atom
SG = No. 5
mass density = 6.3 Mg/m³

In order of appearance, spin magnetization = 0.00; 0.00; 0.00; 0.00; 0.00; 0.00; 0.00; 0.00 μB/cell.